The following is a DFT calculation (PBE) of a geometry-optimized ScH structure.

a = 7.8503 Å, b = 7.8503 Å, c = 3.3464 Å
α = 90.00°, β = 90.00°, γ = 120.00°
Closest atoms and distances in Å follow each position.
Fractional positions:
1 Sc 0.1279 0.7013 0.2500  4 H 2.01-2.04
2 Sc 0.2987 0.4266 0.2500  4 H 2.01-2.04
3 Sc 0.4266 0.1279 0.7500  4 H 2.01-2.04
4 Sc 0.5734 0.8721 0.2500  4 H 2.01-2.04
5 Sc 0.7013 0.5734 0.7500  4 H 2.01-2.04
6 Sc 0.8721 0.2987 0.7500  4 H 2.01-2.04
7 H 0.0324 0.4078 0.2500  4 Sc 2.01-2.04
8 H 0.3754 0.9676 0.2500  4 Sc 2.01-2.04
9 H 0.4078 0.3754 0.7500  4 Sc 2.01-2.04
10 H 0.5922 0.6246 0.2500  4 Sc 2.01-2.04
11 H 0.6246 0.0324 0.7500  4 Sc 2.01-2.04
12 H 0.9676 0.5922 0.7500  4 Sc 2.01-2.04

Computed properties:
DFT total energy = -5.15 eV per atom
Density = 2.6 Mg/m³